This record from Alexandria via LeMat-Bulk describes a geometry-optimized Y2VMo structure. The functional is PBE-GGA.

abc: 7.1353 7.1353 7.1353
angles: 90.00 90.00 90.00
Closest atoms and distances in Å follow each position.
Space group Fm-3m (No. 225)
Unique sites:
Y  0.2500  0.2500  0.2500  4 Mo 3.09, 4 V 3.09
V  0.0000  0.0000  0.0000  8 Y 3.09
Mo  0.0000  0.0000  0.5000  8 Y 3.09

Output
Spin magnetization   0.438 μB/atom
V   363.3 Å³/cell
Density of states at the Fermi level   1.69 states/eV per atom
E_form   0.486 eV per atom

---

This record from Alexandria via LeMat-Bulk describes a geometry-optimized YV2Mo structure. The functional is PBE-GGA.

abc: 6.5766 6.5766 6.5766
angles: 90.00 90.00 90.00
Closest atoms and distances in Å follow each position.
Space group Fm-3m (No. 225)
Unique sites:
Y  0.0000  0.0000  0.0000  8 V 2.85
V  0.2500  0.2500  0.2500  4 Mo 2.85, 4 Y 2.85
Mo  0.0000  0.0000  0.5000  8 V 2.85

Output
Spin magnetization   0.815 μB/atom
V   284.4 Å³/cell
Density of states at the Fermi level   1.29 states/eV per atom
E_form   0.411 eV per atom

---

This record from Alexandria via LeMat-Bulk describes a geometry-optimized Y2VMo structure. The functional is PBE-GGA.

abc: 7.8243 7.8243 6.0571
angles: 90.00 90.00 90.00
Closest atoms and distances in Å follow each position.
Space group I-42d (No. 122)
Unique sites:
Y  0.2468  0.2500  0.1250  2 V 2.85, 2 Mo 2.89, 2 Y 3.03
V  0.0000  0.0000  0.0000  4 Y 2.85, 2 Mo 3.03
Mo  0.0000  0.0000  0.5000  4 Y 2.89, 2 V 3.03

Output
Spin magnetization   0.583 μB/atom
V   370.8 Å³/cell
Density of states at the Fermi level   1.29 states/eV per atom
E_form   0.935 eV per atom

---

This record from Alexandria via LeMat-Bulk describes a geometry-optimized Y3VMo structure. The functional is PBE-GGA.

abc: 5.3296 5.3296 5.3296
angles: 90.00 90.00 90.00
Closest atoms and distances in Å follow each position.
Space group Pm-3m (No. 221)
Unique sites:
Y  0.0000  0.0000  0.5000  2 Mo 2.66
V  0.5000  0.5000  0.5000  12 Y 3.77
Mo  0.0000  0.0000  0.0000  6 Y 2.66

Output
Spin magnetization   0.772 μB/atom
V   151.4 Å³/cell
Density of states at the Fermi level   1.77 states/eV per atom
E_form   0.850 eV per atom

---

This record from Alexandria via LeMat-Bulk describes a geometry-optimized YVMo structure. The functional is PBE-GGA.

abc: 3.5285 14.0283 4.7622
angles: 90.00 90.00 90.00
Closest atoms and distances in Å follow each position.
Space group Cmcm (No. 63)
Unique sites:
Y  0.0000  0.0815  0.2500  4 V 3.00-3.31, 4 Mo 3.03, 2 Y 3.30
V  0.0000  0.2451  0.7500  2 Mo 2.42
Mo  0.0000  0.3732  0.2500  2 V 2.42

Output
Spin magnetization   0.000 μB/atom
V   235.7 Å³/cell
Density of states at the Fermi level   0.88 states/eV per atom
E_form   0.239 eV per atom

---

This record from Alexandria via LeMat-Bulk describes a geometry-optimized YV2Mo2 structure. The functional is PBE-GGA.

abc: 7.6462 7.6462 3.0494
angles: 90.00 90.00 90.00
Closest atoms and distances in Å follow each position.
Space group P4/mbm (No. 127)
Unique sites:
Y  0.0000  0.0000  0.0000  4 V 3.00, 2 Y 3.05, 8 Mo 3.31
V  0.1293  0.3707  0.0000  6 Mo 2.59-2.89, 1 V 2.80
Mo  0.1435  0.6435  0.5000  6 V 2.59-2.89

Output
Spin magnetization   0.000 μB/atom
V   178.3 Å³/cell
Density of states at the Fermi level   1.30 states/eV per atom
E_form   0.339 eV per atom

---

This record from Alexandria via LeMat-Bulk describes a geometry-optimized YVMo2 structure. The functional is PBE-GGA.

abc: 4.6038 4.6038 17.4657
angles: 90.00 90.00 90.00
Closest atoms and distances in Å follow each position.
Space group I-42d (No. 122)
Unique sites:
Y  0.0000  0.0000  0.0000  4 Mo 3.17, 4 V 3.26
V  0.0000  0.0000  0.5000  4 Mo 2.49
Mo  0.0680  0.2500  0.6250  2 Mo 2.39, 2 V 2.49

Output
Spin magnetization   0.000 μB/atom
V   370.2 Å³/cell
Density of states at the Fermi level   0.91 states/eV per atom
E_form   1.005 eV per atom

---

This record from Alexandria via LeMat-Bulk describes a geometry-optimized YV3Mo structure. The functional is PBE-GGA.

abc: 4.5635 4.5635 4.5635
angles: 90.00 90.00 90.00
Closest atoms and distances in Å follow each position.
Space group Pm-3m (No. 221)
Unique sites:
Y  0.0000  0.0000  0.0000  6 V 2.28
V  0.0000  0.0000  0.5000  2 Y 2.28
Mo  0.5000  0.5000  0.5000  12 V 3.23

Output
Spin magnetization   0.474 μB/atom
V   95.0 Å³/cell
Density of states at the Fermi level   1.63 states/eV per atom
E_form   2.186 eV per atom

---

This record from Alexandria via LeMat-Bulk describes a geometry-optimized YVMo2 structure. The functional is PBE-GGA.

abc: 6.5303 6.5303 6.5303
angles: 90.00 90.00 90.00
Closest atoms and distances in Å follow each position.
Space group Fm-3m (No. 225)
Unique sites:
Y  0.0000  0.0000  0.0000  8 Mo 2.83
V  0.0000  0.0000  0.5000  8 Mo 2.83
Mo  0.2500  0.2500  0.2500  4 Y 2.83, 4 V 2.83

Output
Spin magnetization   0.000 μB/atom
V   278.5 Å³/cell
Density of states at the Fermi level   1.37 states/eV per atom
E_form   0.438 eV per atom

---

This record from Alexandria via LeMat-Bulk describes a geometry-optimized YV2Mo2 structure. The functional is PBE-GGA.

abc: 4.1103 4.1103 11.0247
angles: 90.00 90.00 90.00
Closest atoms and distances in Å follow each position.
Space group I4/mmm (No. 139)
Unique sites:
Y  0.0000  0.0000  0.0000  8 Mo 3.19, 8 V 3.44
V  0.0000  0.5000  0.2500  4 Mo 2.51
Mo  0.0000  0.0000  0.3812  4 V 2.51, 1 Mo 2.62

Output
Spin magnetization   0.000 μB/atom
V   186.3 Å³/cell
Density of states at the Fermi level   0.63 states/eV per atom
E_form   0.310 eV per atom

---

This record from Alexandria via LeMat-Bulk describes a geometry-optimized Y2ZrVMo structure. The functional is PBE-GGA.

abc: 5.4184 5.4184 4.4676
angles: 90.00 90.00 90.00
Closest atoms and distances in Å follow each position.
Space group P4/mmm (No. 123)
Unique sites:
Y  0.0000  0.5000  0.0000  2 Mo 2.71
Zr  0.0000  0.0000  0.5000  8 Y 3.51, 4 V 3.83
V  0.5000  0.5000  0.5000  2 Mo 2.23
Mo  0.5000  0.5000  0.0000  2 V 2.23

Output
Spin magnetization   0.391 μB/atom
V   131.2 Å³/cell
Density of states at the Fermi level   1.48 states/eV per atom
E_form   0.842 eV per atom

---

This record from Alexandria via LeMat-Bulk describes a geometry-optimized VZnMo2 structure. The functional is PBE-GGA.

abc: 3.8295 3.8295 4.0182
angles: 90.00 90.00 90.00
Closest atoms and distances in Å follow each position.
Space group P4/mmm (No. 123)
Unique sites:
V  0.0000  0.0000  0.0000  4 Zn 2.71, 8 Mo 2.78
Zn  0.5000  0.5000  0.0000  4 V 2.71, 8 Mo 2.78
Mo  0.0000  0.5000  0.5000  4 Mo 2.71, 4 Zn 2.78, 4 V 2.78

Output
Spin magnetization   0.000 μB/atom
V   58.9 Å³/cell
Density of states at the Fermi level   0.61 states/eV per atom
E_form   0.086 eV per atom

---

This record from Alexandria via LeMat-Bulk describes a geometry-optimized VZnMo2 structure. The functional is PBE-GGA.

abc: 6.9255 6.9255 5.3096
angles: 90.00 90.00 90.00
Closest atoms and distances in Å follow each position.
Space group I-42d (No. 122)
Unique sites:
V  0.0000  0.0000  0.0000  4 Mo 2.45, 2 Zn 2.65
Zn  0.0000  0.0000  0.5000  4 Mo 2.62, 2 V 2.65
Mo  0.2318  0.7500  0.1250  2 V 2.45, 2 Zn 2.62, 2 Mo 2.67

Output
Spin magnetization   0.000 μB/atom
V   254.7 Å³/cell
Density of states at the Fermi level   0.95 states/eV per atom
E_form   0.658 eV per atom

---

This record from Alexandria via LeMat-Bulk describes a geometry-optimized V2ZnMo structure. The functional is PBE-GGA.

abc: 3.1317 3.1317 5.8249
angles: 90.00 90.00 90.00
Closest atoms and distances in Å follow each position.
Space group P4/mmm (No. 123)
Unique sites:
V  0.0000  0.0000  0.2428  4 Mo 2.63, 4 Zn 2.67, 1 V 2.83
Zn  0.5000  0.5000  0.5000  8 V 2.67, 2 Mo 2.91
Mo  0.5000  0.5000  0.0000  8 V 2.63, 2 Zn 2.91

Output
Spin magnetization   0.000 μB/atom
V   57.1 Å³/cell
Density of states at the Fermi level   0.50 states/eV per atom
E_form   -0.034 eV per atom